{"formula": "La2Ti2Cu", "functional": "PBE-GGA", "state": "optimized geometry", "cell": [[-6.099, 3.155, 0.408], [-2.887, -5.860, 2.153], [0.966, 1.258, 4.720]], "species": ["La", "La", "Ti", "Ti", "Ti", "Cu", "La", "Ti", "Cu", "La"], "frac_coords": [[0.171, 0.671, 0.500], [0.671, 0.829, 0.500], [0.144, 0.356, 0.000], [0.856, 0.644, 0.000], [0.644, 0.144, 0.000], [0.500, 0.500, 0.000], [0.829, 0.329, 0.500], [0.356, 0.856, 0.000], [0.000, 0.000, 0.000], [0.329, 0.171, 0.500]], "dos_ef_per_ev_atom": 0.860, "delta_e_f_mev_per_atom": 256, "density_g_cm3": 6.2, "sg": "P4/mbm, No. 127", "volume_a3_per_atom": 23.560, "total_energy_ev_per_fu": -28.5}


{"formula": "Ga2CoH", "functional": "PBE-GGA", "state": "optimized geometry", "cell": [[0.000, 2.875, 2.875], [2.875, 0.000, 2.875], [2.875, 2.875, 0.000]], "species": ["H", "Ga", "Co", "Ga"], "frac_coords": [[0.000, 0.000, 0.000], [0.750, 0.750, 0.750], [0.500, 0.500, 0.500], [0.250, 0.250, 0.250]], "dos_ef_per_ev_atom": 0.722, "density_g_cm3": 7.0, "sg": "Fm-3m, No. 225", "volume_a3_per_atom": 11.876, "total_energy_ev_per_fu": -15.0, "de_polymorph_mev_per_atom": 159}


{"formula": "TbMnP2Rh5", "functional": "PBE-GGA", "state": "optimized geometry", "cell": [[-0.426, 1.165, 4.159], [-4.301, 0.260, -0.514], [-0.848, -9.137, 2.472]], "species": ["Rh", "P", "Rh", "Rh", "Mn", "P", "Rh", "Tb", "Rh"], "frac_coords": [[0.000, 0.000, 0.500], [0.000, 0.000, 0.238], [0.000, 0.500, 0.290], [0.500, 0.000, 0.710], [0.000, 0.000, 0.000], [0.000, 0.000, 0.762], [0.000, 0.500, 0.710], [0.500, 0.500, 0.500], [0.500, 0.000, 0.290]], "dos_ef_per_ev_atom": 0.743, "delta_e_f_mev_per_atom": -326, "density_g_cm3": 7.3, "sg": "P4/mmm, No. 123", "volume_a3_per_atom": 19.886, "total_energy_ev_per_fu": -64.3}


{"formula": "Na2AgOsO6", "functional": "PBE-GGA", "state": "optimized geometry", "cell": [[-3.093, 3.671, -1.689], [-3.346, -3.763, -2.053], [-4.441, -0.641, 8.415]], "species": ["O", "O", "Os", "Na", "O", "O", "O", "O", "Os", "Ag", "Na", "Na", "Ag", "O", "O", "O", "O", "O", "O", "Na"], "frac_coords": [[0.859, 0.535, 0.171], [0.213, 0.197, 0.432], [0.500, 0.000, 0.500], [0.957, 0.063, 0.757], [0.686, 0.287, 0.572], [0.713, 0.303, 0.932], [0.287, 0.697, 0.068], [0.814, 0.787, 0.928], [0.000, 0.500, 0.000], [0.500, 0.000, 0.000], [0.043, 0.937, 0.243], [0.457, 0.437, 0.257], [0.000, 0.500, 0.500], [0.359, 0.965, 0.671], [0.787, 0.803, 0.568], [0.314, 0.713, 0.428], [0.141, 0.465, 0.829], [0.186, 0.213, 0.072], [0.641, 0.035, 0.329], [0.543, 0.563, 0.743]], "dos_ef_per_ev_atom": 0.412, "density_g_cm3": 5.5, "sg": "P2_1/c, No. 14", "volume_a3_per_atom": 13.173, "total_energy_ev_per_fu": -56.3}


{"formula": "ZnSbTe", "functional": "PBE-GGA", "state": "optimized geometry", "cell": [[-1.255, 5.604, 2.123], [-0.310, 1.882, 5.818], [3.377, -3.141, -4.027]], "species": ["Sb", "Zn", "Te"], "frac_coords": [[0.037, 0.037, 0.000], [0.667, 0.667, 0.000], [0.295, 0.295, 0.000]], "dos_ef_per_ev_atom": 0.320, "density_g_cm3": 6.7, "sg": "I4mm, No. 107", "volume_a3_per_atom": 26.086, "total_energy_ev_per_fu": -8.2, "de_polymorph_mev_per_atom": 125}


{"formula": "AcSm2Ho2Er2", "functional": "PBE-GGA", "state": "optimized geometry", "cell": [[5.114, 0.000, 0.000], [-2.557, 5.720, 0.257], [0.000, -1.547, 7.938]], "species": ["Ac", "Sm", "Er", "Er", "Ho", "Sm", "Ho"], "frac_coords": [[0.000, 0.000, 0.000], [0.285, 0.569, 0.849], [0.142, 0.285, 0.434], [0.858, 0.715, 0.566], [0.426, 0.852, 0.294], [0.715, 0.431, 0.151], [0.574, 0.148, 0.706]], "dos_ef_per_ev_atom": 1.501, "delta_e_f_mev_per_atom": 46, "density_g_cm3": 8.5, "sg": "C2/m, No. 12", "volume_a3_per_atom": 33.463, "total_energy_ev_per_fu": -31.5}